Record 1
Computed, not measured: crystalline Fe7TeP at its relaxed geometry at the PBE level of DFT.

The structure in extended XYZ format:
```
18
Lattice="4.5524 0.0024 -0.0124 -0.4491 7.4969 -0.0438 -0.6201 -3.1919 7.0000" Properties=species:S:1:pos:R:3 pbc="T T T"
Fe 1.7055 0.6669 0.1969
Fe 3.5917 6.7605 1.0354
Fe -0.5684 2.7746 5.9358
Fe 2.8600 4.3133 0.7973
Fe 1.9802 0.0840 5.3152
Fe 0.5039 2.3138 3.8552
Fe 0.7029 4.8118 4.6638
Fe 1.7389 2.8524 5.8531
Fe 2.8634 3.8730 3.5979
Fe 3.9574 1.6058 1.7014
Fe 0.4086 4.4505 2.2072
Fe 3.3338 -2.3909 5.9684
Fe 1.5897 0.0379 2.7189
Fe 1.7831 2.4503 1.8853
P 1.3543 6.0268 0.9203
P 2.7969 1.7092 3.9503
Te -0.1814 -0.0943 6.7600
Te 3.8801 -1.1547 3.5972
```

Output
Uncorrected formation energy (eV/atom): 0.09
Magnetic moment (μB per formula unit): 15.73

Record 2
Computed, not measured: crystalline FeTe2P at its relaxed geometry at the PBE level of DFT.

The structure in extended XYZ format:
```
4
Lattice="-1.4118 -0.4364 3.5643 -7.2897 -2.1524 -3.1509 1.0461 -3.5189 -0.0165" Properties=species:S:1:pos:R:3 pbc="T T T"
Te -4.3507 -1.2944 0.2067
Te 0.0000 0.0000 0.0000
P -3.1218 -2.8356 -1.5837
Fe -0.1828 -1.9776 1.7739
```

Output
Uncorrected formation energy (eV/atom): 0.62
Magnetic moment (μB per formula unit): 3.53

Record 3
Computed, not measured: crystalline Fe3TeP at its relaxed geometry at the PBE level of DFT.

The structure in extended XYZ format:
```
5
Lattice="4.2757 0.0000 0.0000 0.0000 4.2757 0.0000 0.0000 0.0000 4.2757" Properties=species:S:1:pos:R:3 pbc="T T T"
Fe 0.0000 0.0000 2.1379
Fe 0.0000 2.1379 0.0000
Fe 2.1379 0.0000 0.0000
P 0.0000 0.0000 0.0000
Te 2.1379 2.1379 2.1379
```

Output
Uncorrected formation energy (eV/atom): 0.32
Magnetic moment (μB per formula unit): 5.39

Record 4
Computed, not measured: crystalline FeTe2P at its relaxed geometry at the PBE level of DFT.

The structure in extended XYZ format:
```
4
Lattice="3.7248 -0.0062 0.0083 1.8634 3.2252 0.0083 1.8487 1.0649 6.9266" Properties=species:S:1:pos:R:3 pbc="T T T"
Te 3.7190 2.1423 3.3604
Te 5.5876 3.2187 0.1279
Fe 1.8592 1.0710 1.7358
P 5.5776 3.2129 5.2074
```

Output
Uncorrected formation energy (eV/atom): 0.34
Magnetic moment (μB per formula unit): 2.09

Record 5
Computed, not measured: crystalline FeTe2P at its relaxed geometry at the PBE level of DFT.

The structure in extended XYZ format:
```
4
Lattice="4.8939 0.0000 0.0000 2.4469 4.2382 0.0000 2.4469 1.4127 3.9958" Properties=species:S:1:pos:R:3 pbc="T T T"
P 7.3408 4.2382 2.9969
Fe 4.8939 2.8255 1.9979
Te 2.4469 1.4127 0.9990
Te 0.0000 0.0000 0.0000
```

Output
Uncorrected formation energy (eV/atom): 0.78
Magnetic moment (μB per formula unit): 2.75

Record 6
Computed, not measured: crystalline FeTe2P at its relaxed geometry at the PBE level of DFT.

The structure in extended XYZ format:
```
8
Lattice="-4.8841 -0.1856 -3.5752 2.1469 -4.9912 -2.6738 -4.1895 -5.9600 0.9042" Properties=species:S:1:pos:R:3 pbc="T T T"
P -1.3686 -2.5884 -3.1245
P -1.7056 -6.7698 -2.4471
Fe -5.2211 -4.3669 -2.8978
Fe 0.0000 0.0000 0.0000
Te -5.4620 -9.1744 -4.8834
Te -4.0026 -2.2364 -2.4679
Te -0.1451 -4.6262 -1.7668
Te -4.2438 -6.2365 -1.5716
```

Output
Uncorrected formation energy (eV/atom): 0.42
Magnetic moment (μB per formula unit): 2.12

Record 7
Computed, not measured: crystalline Fe2TeP2 at its relaxed geometry at the PBE level of DFT.

The structure in extended XYZ format:
```
5
Lattice="3.5295 0.0000 0.0000 0.0000 3.5295 0.0000 1.7647 1.7647 5.9943" Properties=species:S:1:pos:R:3 pbc="T T T"
Te 0.0000 0.0000 0.0000
Fe 1.7647 1.7647 1.6658
Fe 3.5295 3.5295 4.3285
P 1.7647 3.5295 2.9971
P 3.5295 1.7647 2.9971
```

Output
Uncorrected formation energy (eV/atom): -0.10
Magnetic moment (μB per formula unit): 0.00

Record 8
Computed, not measured: crystalline FeTe2P at its relaxed geometry at the PBE level of DFT.

The structure in extended XYZ format:
```
4
Lattice="4.1207 -0.0220 -0.0005 2.6685 3.1400 -0.0005 2.0415 0.9376 7.2236" Properties=species:S:1:pos:R:3 pbc="T T T"
P 6.9978 3.2138 4.5151
Te 8.4544 3.8827 6.4963
Te 1.6503 0.7579 2.5305
Fe 4.9742 2.2844 4.5146
```

Output
Uncorrected formation energy (eV/atom): -0.01
Magnetic moment (μB per formula unit): 0.00

Record 9
Computed, not measured: crystalline FeTe2P at its relaxed geometry at the PBE level of DFT.

The structure in extended XYZ format:
```
4
Lattice="-0.4703 -3.3353 2.0246 1.5691 -3.5888 -5.5478 4.1338 -2.2987 -2.8268" Properties=species:S:1:pos:R:3 pbc="T T T"
Fe 2.6163 -4.6114 -3.1750
Te 0.0000 0.0000 0.0000
Te 0.5494 -3.4621 -1.7616
P 2.0669 -1.1494 -1.4134
```

Output
Uncorrected formation energy (eV/atom): 0.30
Magnetic moment (μB per formula unit): 2.69

Record 10
Computed, not measured: crystalline Fe3TeP at its relaxed geometry at the PBE level of DFT.

The structure in extended XYZ format:
```
5
Lattice="-3.8556 -2.4866 1.1336 0.5054 -2.5753 -3.9302 2.6857 -3.0852 2.3669" Properties=species:S:1:pos:R:3 pbc="T T T"
Fe -1.9278 -1.2433 0.5668
Fe 1.3428 -1.5426 1.1835
Fe 0.2527 -1.2876 -1.9651
Te 0.0000 0.0000 0.0000
P -0.3322 -4.0735 -0.2148
```

Output
Uncorrected formation energy (eV/atom): 1.44
Magnetic moment (μB per formula unit): 7.77

Record 11
Computed, not measured: crystalline FeTe2P at its relaxed geometry at the PBE level of DFT.

The structure in extended XYZ format:
```
4
Lattice="3.7772 0.0000 0.0000 0.0000 4.3319 -0.0393 0.0000 1.0486 5.6952" Properties=species:S:1:pos:R:3 pbc="T T T"
P 1.8886 3.8159 3.4891
Fe 0.0000 2.7739 3.5312
Te 0.0000 5.1765 5.1083
Te 1.8886 1.6846 2.0112
```

Output
Uncorrected formation energy (eV/atom): 0.15
Magnetic moment (μB per formula unit): 0.44

Record 12
Computed, not measured: crystalline FeTeP4 at its relaxed geometry at the PBE level of DFT.

The structure in extended XYZ format:
```
6
Lattice="0.0000 3.9433 3.9433 3.9433 0.0000 3.9433 3.9433 3.9433 0.0000" Properties=species:S:1:pos:R:3 pbc="T T T"
P 5.1159 5.1159 2.7708
P 2.7708 5.1159 5.1159
P 5.1159 2.7708 5.1159
P 2.7708 2.7708 2.7708
Fe 0.0000 0.0000 0.0000
Te 5.9150 5.9150 5.9150
```

Output
Uncorrected formation energy (eV/atom): 0.81
Magnetic moment (μB per formula unit): 3.41

Record 13
Computed, not measured: crystalline FeTe2P at its relaxed geometry at the PBE level of DFT.

The structure in extended XYZ format:
```
4
Lattice="-6.6941 -0.6628 -5.2677 -7.9714 -3.0057 -0.6492 6.3839 4.1532 3.8724" Properties=species:S:1:pos:R:3 pbc="T T T"
P -3.8214 0.8280 -2.1769
Te -4.4601 -0.3434 0.1324
Te 0.0000 0.0000 0.0000
Fe -7.3327 -1.8343 -2.9584
```

Output
Uncorrected formation energy (eV/atom): 0.61
Magnetic moment (μB per formula unit): 3.63

Record 14
Computed, not measured: crystalline Fe4TeP at its relaxed geometry at the PBE level of DFT.

The structure in extended XYZ format:
```
6
Lattice="0.0000 3.5208 3.5208 3.5208 0.0000 3.5208 3.5208 3.5208 0.0000" Properties=species:S:1:pos:R:3 pbc="T T T"
Fe 4.3964 2.6453 4.3964
Fe 2.6453 2.6453 2.6453
Fe 4.3964 4.3964 2.6453
Fe 2.6453 4.3964 4.3964
Te 0.0000 0.0000 0.0000
P 5.2813 5.2813 5.2813
```

Output
Uncorrected formation energy (eV/atom): 0.41
Magnetic moment (μB per formula unit): 10.62

Record 15
Computed, not measured: crystalline FeTe2P at its relaxed geometry at the PBE level of DFT.

The structure in extended XYZ format:
```
4
Lattice="-6.6600 -6.4948 2.6267 -5.1580 -8.1728 0.1926 -3.9007 -8.2213 3.2607" Properties=species:S:1:pos:R:3 pbc="T T T"
P -12.2747 -17.8740 4.7479
Te -3.3855 -4.9298 1.3095
Te -0.3109 -0.4527 0.1202
Fe -7.6069 -11.0768 2.9423
```

Output
Uncorrected formation energy (eV/atom): 0.10
Magnetic moment (μB per formula unit): 0.42

Record 16
Computed, not measured: crystalline FeTe2P at its relaxed geometry at the PBE level of DFT.

The structure in extended XYZ format:
```
4
Lattice="5.7339 -0.5375 0.4127 -0.0854 5.7584 -0.4127 -1.1775 -4.3920 3.5581" Properties=species:S:1:pos:R:3 pbc="T T T"
Te 2.8474 2.6319 0.0000
Te 5.6253 5.1995 0.0000
Fe 3.6903 -1.1595 1.9854
P 0.7806 1.9884 1.5727
```

Output
Uncorrected formation energy (eV/atom): 0.64
Magnetic moment (μB per formula unit): 3.14

Record 17
Computed, not measured: crystalline FeTe2P at its relaxed geometry at the PBE level of DFT.

The structure in extended XYZ format:
```
4
Lattice="3.0403 0.0000 0.0000 0.0000 3.0404 0.0000 0.0000 0.0000 9.8344" Properties=species:S:1:pos:R:3 pbc="T T T"
Te 0.0000 0.0000 9.1101
Te 1.5201 1.5202 3.1127
P 1.5201 1.5202 5.8180
Fe 0.0000 0.0000 6.5453
```

Output
Uncorrected formation energy (eV/atom): -0.01
Magnetic moment (μB per formula unit): 0.86

Record 18
Computed, not measured: crystalline FeTe2P at its relaxed geometry at the PBE level of DFT.

The structure in extended XYZ format:
```
4
Lattice="7.9119 0.6029 0.2048 5.1537 6.0333 -0.2048 -5.8903 -4.5831 2.7024" Properties=species:S:1:pos:R:3 pbc="T T T"
P 4.7126 3.3058 1.2488
Te 3.0398 -0.9595 1.4536
Te 12.3762 6.2860 0.0000
Fe 6.6452 3.3752 0.0000
```

Output
Uncorrected formation energy (eV/atom): 0.25
Magnetic moment (μB per formula unit): 2.61

Record 19
Computed, not measured: crystalline FeTe4P at its relaxed geometry at the PBE level of DFT.

The structure in extended XYZ format:
```
6
Lattice="3.1401 -3.5993 3.9235 -2.0914 -0.8617 5.7526 -2.2929 -5.4937 1.6645" Properties=species:S:1:pos:R:3 pbc="T T T"
Te -0.4660 -3.7285 4.2476
Te -1.5155 -4.1609 7.1343
Te -1.6166 -6.4852 5.0829
Te 1.1097 -5.5346 6.2164
P 0.0000 0.0000 0.0000
Fe -0.9331 -7.4660 8.5055
```

Output
Uncorrected formation energy (eV/atom): 1.16
Magnetic moment (μB per formula unit): 3.64

Record 20
Computed, not measured: crystalline FeTe2P at its relaxed geometry at the PBE level of DFT.

The structure in extended XYZ format:
```
16
Lattice="-1.7777 7.3357 3.8716 -5.0386 -3.3183 3.9738 4.7780 -1.4156 4.8761" Properties=species:S:1:pos:R:3 pbc="T T T"
Fe -2.6888 1.4418 3.0532
Fe 0.1541 -1.1390 4.5028
Fe -2.1924 3.7407 8.2187
Fe -4.1275 2.5756 4.7922
P -1.3209 -2.0142 3.2099
P 1.0604 -2.7197 5.6400
P 0.1792 0.9458 7.5838
P -2.2175 1.6559 5.1378
Te -3.1195 4.8843 4.4747
Te -3.6968 -0.8670 3.3707
Te -1.5414 -0.6108 6.3176
Te 2.2249 0.1702 5.3460
Te -0.4969 3.2126 6.4040
Te -4.2632 2.4316 7.3755
Te -0.1641 0.8779 2.9079
Te -1.8742 1.7238 9.8136
```

Output
Uncorrected formation energy (eV/atom): 0.05
Magnetic moment (μB per formula unit): 1.14